Entry from Alexandria via LeMat-Bulk: PrHfSe2O after structural relaxation (PBE-GGA).

Results
The value obtained for the calculated volume is 106.77 Å³/f.u. As for the formation energy (no corrections): -2.0028 eV/atom. For the density of states at the Fermi level, the calculation gives 2.84 states/eV/cell.

Unit cell a=3.929 b=3.929 c=13.830 alpha=90.00 beta=90.00 gamma=90.00
Fractional coordinates of all 10 atoms:
Pr 0.500 0.000 0.592
Pr 0.000 0.500 0.408
Se 0.500 0.000 0.282
Se 0.500 0.000 0.895
Se 0.000 0.500 0.105
Se 0.000 0.500 0.718
Hf 0.500 0.000 0.097
Hf 0.000 0.500 0.903
O 0.000 0.000 0.500
O 0.500 0.500 0.500